A PBEsol-optimized structure of BaLaZnOs2, computed with meta-GGA SCAN.

Values from the calculation:
Its space group is P4/mmm (123). Its final energy is -234.43 eV per cell. The crystal system is tetragonal. Its total magnetization is 0.0 μB per cell. For the formation energy, the calculation gives 1.10 eV per atom.

Cell: 4.7839 4.7839 5.1051 Å, 90.00 90.00 90.00°
Fractional coordinates of all 5 atoms:
Ba: 0.0000 0.0000 0.0000
La: 0.5000 0.5000 0.0000
Zn: 0.0000 0.0000 0.5000
Os: 0.0000 0.5000 0.5000
Os: 0.5000 0.0000 0.5000

=====

A PBEsol-optimized structure of MgTa2O6, computed with meta-GGA SCAN.

Values from the calculation:
Its space group is Pmn2_1 (31). Its final energy is -405.66 eV per cell. The crystal system is orthorhombic. For the uncorrected formation energy, the calculation gives -3033.6 meV/atom. Its total magnetization is 0.0 μB per cell.

Cell: 7.5004 5.4978 5.1580 Å, 90.00 90.00 90.00°
Fractional coordinates of all 18 atoms:
Mg: 0.0000 0.1766 0.0000
Mg: 0.5000 0.8234 0.5000
Ta: 0.2480 0.7387 0.0237
Ta: 0.2520 0.2613 0.5237
Ta: 0.7480 0.2613 0.5237
Ta: 0.7520 0.7387 0.0237
O: 0.0000 0.2712 0.3860
O: 0.0000 0.7868 0.1280
O: 0.1825 0.4357 0.8527
O: 0.1925 0.9781 0.7596
O: 0.3075 0.0219 0.2596
O: 0.3175 0.5643 0.3527
O: 0.5000 0.2132 0.6280
O: 0.5000 0.7288 0.8860
O: 0.6825 0.5643 0.3527
O: 0.6925 0.0219 0.2596
O: 0.8075 0.9781 0.7596
O: 0.8175 0.4357 0.8527

=====

A PBEsol-optimized structure of LaCdAg2, computed with meta-GGA SCAN.

Values from the calculation:
Its space group is R3m (160). Its final energy is -137.21 eV per cell. The crystal system is trigonal. Its total magnetization is 0.0 μB per cell. For the formation energy, the calculation gives -0.24 eV per atom.

Cell: 5.4331 5.4331 5.4331 Å, 52.01 52.01 52.01°
Fractional coordinates of all 4 atoms:
La: 0.0000 0.0000 0.0000
Cd: 0.2213 0.2213 0.2213
Ag: 0.4805 0.4805 0.4805
Ag: 0.7812 0.7812 0.7812

=====

A PBEsol-optimized structure of SrCoP2O7, computed with meta-GGA SCAN.

Values from the calculation:
Its space group is P2_1/c (14). Its final energy is -529.90 eV per cell. The crystal system is monoclinic. For the uncorrected formation energy, the calculation gives -2589.1 meV/atom. Its total magnetization is 12.0 μB per cell.

Cell: 5.3222 8.1539 13.7452 Å, 90.00 112.78 90.00°
Fractional coordinates of all 44 atoms:
Sr: 0.0665 0.1615 0.2793
Sr: 0.0665 0.3385 0.7793
Sr: 0.9335 0.6615 0.2207
Sr: 0.9335 0.8385 0.7207
Co: 0.4303 0.1483 0.6047
Co: 0.4303 0.3517 0.1047
Co: 0.5697 0.6483 0.8953
Co: 0.5697 0.8517 0.3953
P: 0.2025 0.6984 0.0189
P: 0.2025 0.8016 0.5189
P: 0.4139 0.5330 0.6656
P: 0.4139 0.9670 0.1656
P: 0.5861 0.0330 0.8344
P: 0.5861 0.4670 0.3344
P: 0.7975 0.1984 0.4811
P: 0.7975 0.3016 0.9811
O: 0.0734 0.1656 0.4739
O: 0.0734 0.3344 0.9739
O: 0.2068 0.6819 0.9084
O: 0.2068 0.8181 0.4084
O: 0.2791 0.6117 0.5489
O: 0.2791 0.8883 0.0489
O: 0.2806 0.0579 0.7955
O: 0.2806 0.4421 0.2955
O: 0.2845 0.6185 0.7346
O: 0.2845 0.8815 0.2346
O: 0.3247 0.1464 0.1525
O: 0.3247 0.3536 0.6525
O: 0.4316 0.5969 0.1017
O: 0.4316 0.9031 0.6017
O: 0.5684 0.0969 0.3983
O: 0.5684 0.4031 0.8983
O: 0.6753 0.6464 0.3475
O: 0.6753 0.8536 0.8475
O: 0.7155 0.1185 0.7654
O: 0.7155 0.3815 0.2654
O: 0.7194 0.5579 0.7045
O: 0.7194 0.9421 0.2045
O: 0.7209 0.1117 0.9511
O: 0.7209 0.3883 0.4511
O: 0.7932 0.1819 0.5916
O: 0.7932 0.3181 0.0916
O: 0.9266 0.6656 0.0261
O: 0.9266 0.8344 0.5261